Below is a relaxed structure of KNa2CeF6, with properties calculated at the PBE level.

Summary:
Magnetic moment in μB/f.u.: 1.00
Formation energy without anion corrections in kcal/mol of atoms: -74.63

Cell and atoms, written as CIF:
```
data_KNa2CeF6
_cell_length_a 6.1252
_cell_length_b 6.1252
_cell_length_c 15.9639
_cell_angle_alpha 90.00
_cell_angle_beta 90.00
_cell_angle_gamma 120.00
_symmetry_space_group_name_H-M 'R 3'
_symmetry_Int_Tables_number 146
_symmetry_space_group_name_Hall 'R 3'
loop_
_atom_site_label
_atom_site_type_symbol
_atom_site_fract_x
_atom_site_fract_y
_atom_site_fract_z
K1 K 0.0000 0.0000 0.0000
Na1 Na 0.0000 0.0000 0.2166
Na2 Na 0.0000 0.0000 0.7231
Ce1 Ce 0.0000 0.0000 0.5121
F1 F 0.0219 0.6750 0.7897
F2 F 0.0878 0.3704 0.2791
```

---

Below is a relaxed structure of K2NaCeF8, with properties calculated at the PBE level.

Summary:
Magnetic moment in μB/f.u.: 1.11
Formation energy without anion corrections in kcal/mol of atoms: -68.62

Cell and atoms, written as CIF:
```
data_K2NaCeF8
_cell_length_a 5.9830
_cell_length_b 5.9830
_cell_length_c 11.4143
_cell_angle_alpha 90.00
_cell_angle_beta 90.00
_cell_angle_gamma 90.00
_symmetry_space_group_name_H-M 'I -4 m 2'
_symmetry_Int_Tables_number 119
_symmetry_space_group_name_Hall 'I -4 -2'
loop_
_atom_site_label
_atom_site_type_symbol
_atom_site_fract_x
_atom_site_fract_y
_atom_site_fract_z
K1 K 0.0000 0.0000 0.0000
K2 K 0.0000 0.5000 0.2500
Na1 Na 0.0000 0.0000 0.5000
Ce1 Ce 0.0000 0.5000 0.7500
F1 F 0.2112 0.2712 0.6340
```

---

Below is a relaxed structure of KNaCeF6, with properties calculated at the PBE level.

Summary:
Magnetic moment in μB/f.u.: 0.00
Formation energy without anion corrections in kcal/mol of atoms: -77.58

Cell and atoms, written as CIF:
```
data_KNaCeF6
_cell_length_a 5.5255
_cell_length_b 5.5255
_cell_length_c 11.1720
_cell_angle_alpha 90.00
_cell_angle_beta 90.00
_cell_angle_gamma 90.00
_symmetry_space_group_name_H-M 'P 42 n m'
_symmetry_Int_Tables_number 102
loop_
_symmetry_equiv_pos_as_xyz
'x,y,z'
'-y+1/2,x+1/2,z+1/2'
'-x,-y,z'
'y+1/2,-x+1/2,z+1/2'
'-x+1/2,y+1/2,z+1/2'
'y,x,z'
'x+1/2,-y+1/2,z+1/2'
'-y,-x,z'
loop_
_atom_site_label
_atom_site_type_symbol
_atom_site_fract_x
_atom_site_fract_y
_atom_site_fract_z
K1 K 0.0000 0.0000 0.0000
Na1 Na 0.0000 0.0000 0.3287
Ce1 Ce 0.0000 0.0000 0.6639
F1 F 0.1726 0.1726 0.5111
F2 F 0.1984 0.1984 0.8013
F3 F 0.2210 0.2210 0.1786
```

---

Values of E, in order: -53.26, -60.13, -49.86, all in eV/f.u..